Record 1
Crystalline SrCu2Br at its relaxed geometry, computed with PBE.

As for the energy relative to the elements, uncorrected: -348 meV/atom. As for the space group: P4mm.

a = 3.6168 Å, b = 3.6168 Å, c = 7.5024 Å
α = 90.00°, β = 90.00°, γ = 90.00°
Sites, in units of the cell vectors:
Sr (0.0000, 0.0000, 0.0000)
Cu (0.0000, 0.0000, 0.6325)
Cu (0.5000, 0.5000, 0.6842)
Br (0.5000, 0.5000, 0.2269)

=====

Record 2
Crystalline Dy6ErTl at its relaxed geometry, computed with PBE.

The calculated total energy comes out at -4.242 eV/atom. As for the space group: C2/m.

a = 6.5863 Å, b = 6.5863 Å, c = 6.5128 Å
α = 90.01°, β = 90.01°, γ = 119.85°
Sites, in units of the cell vectors:
Dy (0.0668, 0.4978, 0.7501)
Dy (0.0698, 0.0698, 0.2499)
Dy (0.4978, 0.0668, 0.7501)
Dy (0.5022, 0.9332, 0.2499)
Dy (0.9302, 0.9302, 0.7501)
Dy (0.9332, 0.5022, 0.2499)
Er (0.5000, 0.5000, 0.0000)
Tl (0.5000, 0.5000, 0.5000)

=====

Record 3
Crystalline SrSmTl4 at its relaxed geometry, computed with PBE.

The calculated total energy comes out at -2.928 eV/atom. As for the space group: C2/m.

a = 5.1075 Å, b = 5.1075 Å, c = 8.2893 Å
α = 90.28°, β = 90.28°, γ = 60.39°
Sites, in units of the cell vectors:
Sr (0.0000, 0.0000, 0.0000)
Sm (0.0000, 0.0000, 0.5000)
Tl (0.3333, 0.3333, 0.3362)
Tl (0.3334, 0.3334, 0.7846)
Tl (0.6666, 0.6666, 0.2154)
Tl (0.6667, 0.6667, 0.6638)

=====

Record 4
Crystalline Sr2CoW at its relaxed geometry, computed with PBE.

The calculated total energy comes out at -4.501 eV/atom. As for the space group: F-43m.

a = 5.1077 Å, b = 5.1077 Å, c = 5.1077 Å
α = 60.00°, β = 60.00°, γ = 60.00°
Sites, in units of the cell vectors:
Sr (0.0000, 0.0000, 0.0000)
Sr (0.2500, 0.2500, 0.2500)
Co (0.7500, 0.7500, 0.7500)
W (0.5000, 0.5000, 0.5000)

=====

Please write out number 4 again, unchanged.
Crystalline Sr2CoW at its relaxed geometry, computed with PBE.

The calculated total energy comes out at -4.501 eV/atom. As for the space group: F-43m.

a = 5.1077 Å, b = 5.1077 Å, c = 5.1077 Å
α = 60.00°, β = 60.00°, γ = 60.00°
Sites, in units of the cell vectors:
Sr (0.0000, 0.0000, 0.0000)
Sr (0.2500, 0.2500, 0.2500)
Co (0.7500, 0.7500, 0.7500)
W (0.5000, 0.5000, 0.5000)